The following is a PBE with a Hubbard U calculation of a relaxed structure of AcVWO6, from Alexandria via LeMat-Bulk.

**M_tot**: 2.0 μB/f.u.
**Final energy**: -70.92 eV/cell

Cell and atoms, written as extended XYZ:
```
9
Lattice="5.298 0.000 0.000 -2.649 4.588 0.000 0.000 0.000 5.350" Properties=species:S:1:pos:R:3 pbc="T T T"
Ac 0.000 0.000 0.000
V 0.000 3.059 2.675
W 2.649 1.529 2.675
O -0.973 1.737 3.766
O -1.631 2.877 1.584
O 0.973 1.737 1.584
O -0.658 4.562 3.766
O 1.631 2.877 3.766
O 0.658 4.562 1.584
```